Record 1
Below is BaCaPb2 at its PBEsol-relaxed geometry, with properties calculated at the meta-GGA SCAN level. Values from VASP.

Cell and atoms, written as Quantum ESPRESSO input:
```
&SYSTEM
  ibrav = 0, nat = 4, ntyp = 3
/
ATOMIC_SPECIES
Ca 40.08 Ca.upf
Pb 207.20 Pb.upf
Ba 137.33 Ba.upf
CELL_PARAMETERS angstrom
-0.5113 3.1667 1.6883
-5.9640 -0.2979 -1.2475
0.5808 -2.7837 5.3970
ATOMIC_POSITIONS crystal
Ca 0.5000 0.5000 0.5000
Pb 0.0000 0.0000 0.5000
Pb 0.0000 0.5000 0.0000
Ba 0.5000 0.0000 0.0000
```

Calculated values
total magnetic moment	0.0	μB per cell
V	32.6	Å³ per atom
total energy	-50.85	eV/atom

***

Record 2
Below is Fe2CuSe at its PBEsol-relaxed geometry, with properties calculated at the meta-GGA SCAN level. Values from VASP.

Cell and atoms, written as Quantum ESPRESSO input:
```
&SYSTEM
  ibrav = 0, nat = 4, ntyp = 3
/
ATOMIC_SPECIES
Fe 55.84 Fe.upf
Se 78.96 Se.upf
Cu 63.55 Cu.upf
CELL_PARAMETERS angstrom
3.6355 0.0000 0.0000
0.0000 3.6355 0.0000
-1.8178 -1.8178 3.8290
ATOMIC_POSITIONS crystal
Fe 0.7500 0.2500 0.5000
Fe 0.2500 0.7500 0.5000
Se 0.5000 0.5000 0.0000
Cu 0.0000 0.0000 0.0000
```

Calculated values
total magnetic moment	6.1	μB per cell
V	12.7	Å³ per atom
total energy	-17.69	eV/atom

***

Record 3
Below is TaReRhAu2 at its PBEsol-relaxed geometry, with properties calculated at the meta-GGA SCAN level. Values from VASP.

Cell and atoms, written as Quantum ESPRESSO input:
```
&SYSTEM
  ibrav = 0, nat = 5, ntyp = 4
/
ATOMIC_SPECIES
Ta 180.95 Ta.upf
Rh 102.91 Rh.upf
Au 196.97 Au.upf
Re 186.21 Re.upf
CELL_PARAMETERS angstrom
-1.1065 -4.1555 -1.7564
3.2082 -2.1246 3.0055
-3.4920 -0.4971 3.3761
ATOMIC_POSITIONS crystal
Ta 0.5000 0.0000 0.0000
Rh 0.5000 0.5000 0.5000
Au 0.0000 0.5000 0.0000
Au 0.0000 0.0000 0.5000
Re 0.0000 0.0000 0.0000
```

Calculated values
total magnetic moment	1.0	μB per cell
V	22.1	Å³ per atom
total energy	-60.34	eV/atom

***

Record 4
Below is CaZn2FeW at its PBEsol-relaxed geometry, with properties calculated at the meta-GGA SCAN level. Values from VASP.

Cell and atoms, written as Quantum ESPRESSO input:
```
&SYSTEM
  ibrav = 0, nat = 5, ntyp = 4
/
ATOMIC_SPECIES
W 183.84 W.upf
Zn 65.41 Zn.upf
Fe 55.84 Fe.upf
Ca 40.08 Ca.upf
CELL_PARAMETERS angstrom
4.0904 0.0000 0.0000
0.0000 4.6287 0.0000
0.0000 0.0000 4.6287
ATOMIC_POSITIONS crystal
W 0.5000 0.5000 0.5000
Zn 0.0000 0.5000 0.0000
Zn 0.0000 0.0000 0.5000
Fe 0.5000 0.0000 0.0000
Ca 0.0000 0.0000 0.0000
```

Calculated values
total magnetic moment	1.9	μB per cell
V	17.5	Å³ per atom
total energy	-22.66	eV/atom

***

Q: Number 2 is which compound?
A: Fe2CuSe